# 1
VASP calculation (PBE) on crystalline Rb2Na2CeS4 at its relaxed geometry. Values from VASP.

Results
The space group is No. 12. The calculated volume comes out at 28.54 Å³ per atom. As for the uncorrected formation energy: -1.35 eV/atom. Its size of the total moment is 0.0 μB per formula unit.

```
&SYSTEM
  ibrav = 0, nat = 9, ntyp = 4
/
ATOMIC_SPECIES
Rb 85.47 Rb.upf
Na 22.99 Na.upf
Ce 140.12 Ce.upf
S 32.06 S.upf
CELL_PARAMETERS angstrom
7.9929 -2.1732 0.0000
7.9929 2.1732 0.0000
-3.0871 0.0000 7.3936
ATOMIC_POSITIONS angstrom
Rb 2.0880 0.0000 0.3580
Rb 10.8107 0.0000 7.0356
Na 3.5184 0.0000 3.8933
Na 9.3803 0.0000 3.5003
Ce -1.5435 0.0000 3.6968
S 0.9207 0.0000 4.9751
S 5.7416 0.0000 5.3523
S 7.1571 0.0000 2.0412
S 11.9780 0.0000 2.4184
```

---

# 2
VASP calculation (PBE) on crystalline Ba3CaNd3Te8 at its relaxed geometry. Values from VASP.

Results
The space group is No. 166. The calculated volume comes out at 39.53 Å³ per atom. As for the uncorrected formation energy: -1.58 eV/atom. Its density of states at the Fermi level is 4.25 states/eV/cell. Its size of the total moment is 0.0 μB per formula unit.

```
&SYSTEM
  ibrav = 0, nat = 15, ntyp = 4
/
ATOMIC_SPECIES
Ba 137.33 Ba.upf
Ca 40.08 Ca.upf
Nd 144.24 Nd.upf
Te 127.60 Te.upf
CELL_PARAMETERS angstrom
4.6264 2.6711 7.9970
-4.6264 2.6711 7.9970
0.0000 -5.3421 7.9970
ATOMIC_POSITIONS angstrom
Ba -2.3132 -1.3355 7.9970
Ba -2.3132 1.3355 15.9939
Ba 0.0000 2.6711 7.9970
Ca 0.0000 0.0000 11.9955
Nd -4.6264 0.0000 11.9955
Nd -2.3132 1.3355 3.9985
Nd 2.3132 1.3355 3.9985
Te -2.3442 -1.3534 13.7770
Te 0.0000 0.0000 5.7938
Te 0.0000 -2.7069 10.2139
Te -2.3442 1.3534 10.2139
Te 2.3442 -1.3534 13.7770
Te 0.0000 2.7069 13.7770
Te 0.0000 0.0000 18.1971
Te 2.3442 1.3534 10.2139
```

---

# 3
VASP calculation (PBE) on crystalline Hf5ZnSn4 at its relaxed geometry. Values from VASP.

Results
The space group is No. 59. The formation energy from the elements is -0.14 eV/atom. The calculated volume comes out at 22.65 Å³ per atom. Its density of states at the Fermi level is 10.62 states/eV/cell. Its size of the total moment is 0.0 μB per formula unit.

```
&SYSTEM
  ibrav = 0, nat = 20, ntyp = 3
/
ATOMIC_SPECIES
Hf 178.49 Hf.upf
Zn 65.41 Zn.upf
Sn 118.71 Sn.upf
CELL_PARAMETERS angstrom
9.0951 0.0000 0.0000
0.0000 11.0674 0.0000
0.0000 0.0000 4.5000
ATOMIC_POSITIONS angstrom
Hf 0.6401 1.1469 1.1234
Hf 0.6401 4.3869 1.1234
Hf 2.2738 8.3006 3.3768
Hf 3.9074 1.1469 1.1234
Hf 3.9074 4.3869 1.1234
Hf 5.1877 6.6806 3.3766
Hf 5.1877 9.9206 3.3766
Hf 6.8213 2.7669 1.1232
Hf 8.4550 6.6806 3.3766
Hf 8.4550 9.9206 3.3766
Zn 2.2738 2.7669 3.3713
Zn 6.8213 8.3006 1.1287
Sn 0.5076 8.3006 1.1265
Sn 2.2738 0.0499 3.3736
Sn 2.2738 5.4838 3.3736
Sn 4.0399 8.3006 1.1265
Sn 5.0552 2.7669 3.3735
Sn 6.8213 5.5837 1.1264
Sn 6.8213 11.0175 1.1264
Sn 8.5875 2.7669 3.3735
```

---

# 4
VASP calculation (PBE) on crystalline P2SN at its relaxed geometry. Values from VASP.

Results
The value obtained for the distance to the lowest polymorph of the same formula is 712 meV per atom. The space group is No. 225. The calculated volume comes out at 12.33 Å³ per atom. As for the uncorrected formation energy: 1.48 eV/atom. Its density of states at the Fermi level is 1.72 states/eV/cell. Its size of the total moment is 0.0 μB per formula unit.

```
&SYSTEM
  ibrav = 0, nat = 4, ntyp = 3
/
ATOMIC_SPECIES
P 30.97 P.upf
S 32.06 S.upf
N 14.01 N.upf
CELL_PARAMETERS angstrom
0.0000 2.9109 2.9109
2.9109 0.0000 2.9109
2.9109 2.9109 0.0000
ATOMIC_POSITIONS angstrom
P 1.4555 1.4555 1.4555
P 4.3664 4.3664 4.3664
S 0.0000 0.0000 0.0000
N 2.9109 2.9109 2.9109
```

---

# 5
VASP calculation (PBE) on crystalline ReNiMo2 at its relaxed geometry. Values from VASP.

Results
The value obtained for the distance to the lowest polymorph of the same formula is 108 meV per atom. The space group is No. 8. The formation energy from the elements is 0.13 eV/atom. The calculated volume comes out at 14.57 Å³ per atom. Its density of states at the Fermi level is 3.03 states/eV/cell. Its size of the total moment is 0.0 μB per formula unit.

```
&SYSTEM
  ibrav = 0, nat = 4, ntyp = 3
/
ATOMIC_SPECIES
Re 186.21 Re.upf
Ni 58.69 Ni.upf
Mo 95.94 Mo.upf
CELL_PARAMETERS angstrom
4.4934 -1.3768 0.0000
4.4934 1.3768 0.0000
-0.7772 0.0000 4.7113
ATOMIC_POSITIONS angstrom
Re 0.0000 0.0000 0.0000
Ni 6.4386 0.0000 1.1431
Mo 1.5918 0.0000 3.5281
Mo 3.9463 0.0000 2.2348
```

---

# 6
VASP calculation (PBE) on crystalline RbTi2CdRu at its relaxed geometry. Values from VASP.

Results
The space group is No. 123. The formation energy from the elements is 2.07 eV/atom. The calculated volume comes out at 20.68 Å³ per atom. Its density of states at the Fermi level is 6.56 states/eV/cell. Its size of the total moment is 0.0 μB per formula unit.

```
&SYSTEM
  ibrav = 0, nat = 5, ntyp = 4
/
ATOMIC_SPECIES
Rb 85.47 Rb.upf
Ti 47.87 Ti.upf
Cd 112.41 Cd.upf
Ru 101.07 Ru.upf
CELL_PARAMETERS angstrom
4.6784 0.0000 0.0000
0.0000 4.6784 0.0000
0.0000 0.0000 4.7247
ATOMIC_POSITIONS angstrom
Rb 0.0000 0.0000 0.0000
Ti 0.0000 2.3392 0.0000
Ti 2.3392 0.0000 0.0000
Cd 2.3392 2.3392 2.3624
Ru 0.0000 0.0000 2.3624
```

---

# 7
VASP calculation (PBE) on crystalline Be2InBr at its relaxed geometry. Values from VASP.

Results
The value obtained for the distance to the lowest polymorph of the same formula is 434 meV per atom. The space group is No. 71. The calculated volume comes out at 19.05 Å³ per atom. As for the uncorrected formation energy: 0.69 eV/atom. Its density of states at the Fermi level is 2.33 states/eV/cell. Its size of the total moment is 0.0 μB per formula unit.

```
&SYSTEM
  ibrav = 0, nat = 4, ntyp = 3
/
ATOMIC_SPECIES
Be 9.01 Be.upf
In 114.82 In.upf
Br 79.90 Br.upf
CELL_PARAMETERS angstrom
-1.6210 3.0091 3.9063
1.6210 -3.0091 3.9063
1.6210 3.0091 -3.9063
ATOMIC_POSITIONS angstrom
Be 0.0000 0.0000 1.8617
Be 0.0000 0.0000 5.9509
In 0.0000 3.0091 0.0000
Br 1.6210 0.0000 0.0000
```

---

# 8
VASP calculation (PBE) on crystalline Ba2Zn5Pd at its relaxed geometry. Values from VASP.

Results
The space group is No. 63. The formation energy from the elements is -0.26 eV/atom. The calculated volume comes out at 24.07 Å³ per atom. Its density of states at the Fermi level is 9.56 states/eV/cell. Its size of the total moment is 0.0 μB per formula unit.

```
&SYSTEM
  ibrav = 0, nat = 16, ntyp = 3
/
ATOMIC_SPECIES
Ba 137.33 Ba.upf
Zn 65.41 Zn.upf
Pd 106.42 Pd.upf
CELL_PARAMETERS angstrom
2.3999 -8.5351 0.0000
2.3999 8.5351 0.0000
0.0000 0.0000 9.4014
ATOMIC_POSITIONS angstrom
Ba 0.0000 0.0000 0.0000
Ba 0.0000 0.0000 4.7007
Ba 2.3999 5.1000 7.0510
Ba 2.3999 -5.1000 2.3503
Zn 2.3999 5.3403 1.0486
Zn 2.3999 5.3403 3.6521
Zn 2.3999 2.6295 0.1234
Zn 2.3999 2.6295 4.5772
Zn 2.3999 1.5192 7.0510
Zn 2.3999 -1.5192 2.3503
Zn 2.3999 -2.6295 4.8241
Zn 2.3999 -2.6295 9.2779
Zn 2.3999 -5.3403 5.7493
Zn 2.3999 -5.3403 8.3527
Pd 2.3999 1.1160 2.3503
Pd 2.3999 -1.1160 7.0510
```

---

# 9
VASP calculation (PBE) on crystalline La6Ru2Rh at its relaxed geometry. Values from VASP.

Results
The value obtained for the distance to the lowest polymorph of the same formula is 0 meV per atom. The space group is No. 12. The formation energy from the elements is -0.37 eV/atom. The calculated volume comes out at 31.68 Å³ per atom. Its density of states at the Fermi level is 6.96 states/eV/cell. Its size of the total moment is 0.0 μB per formula unit.

```
&SYSTEM
  ibrav = 0, nat = 9, ntyp = 3
/
ATOMIC_SPECIES
La 138.91 La.upf
Ru 101.07 Ru.upf
Rh 102.91 Rh.upf
CELL_PARAMETERS angstrom
6.2053 -2.1246 0.0000
6.2053 2.1246 0.0000
-3.9952 0.0000 10.8136
ATOMIC_POSITIONS angstrom
La -0.9426 0.0000 2.7395
La 2.4209 0.0000 4.5132
La 0.5098 0.0000 9.8551
La 7.9057 0.0000 0.9586
La 5.9946 0.0000 6.3005
La 9.3580 0.0000 8.0741
Ru 1.4541 0.0000 7.2487
Ru 6.9614 0.0000 3.5650
Rh 0.0000 0.0000 0.0000
```

---

# 10
VASP calculation (PBE) on crystalline Pu2ThRu3 at its relaxed geometry. Values from VASP.

Results
The space group is No. 15. The formation energy from the elements is -0.12 eV/atom. The calculated volume comes out at 20.34 Å³ per atom. Its density of states at the Fermi level is 23.28 states/eV/cell. Its size of the total moment is 8.6 μB per formula unit.

```
&SYSTEM
  ibrav = 0, nat = 12, ntyp = 3
/
ATOMIC_SPECIES
Pu 244.00 Pu.upf
Th 232.04 Th.upf
Ru 101.07 Ru.upf
CELL_PARAMETERS angstrom
5.3371 -2.7974 0.0000
5.3371 2.7974 0.0000
-3.9586 0.0000 8.1724
ATOMIC_POSITIONS angstrom
Pu 1.4854 0.7158 0.5622
Pu -0.4939 -0.7158 4.6484
Pu 7.2095 0.7158 3.5240
Pu 5.2302 -0.7158 7.6103
Th 2.3681 0.8082 6.1293
Th 4.3475 -0.8082 2.0431
Ru 4.3475 1.9281 2.0431
Ru 1.8731 0.9073 3.2419
Ru -0.1062 -0.9073 7.3281
Ru 6.8218 0.9073 0.8443
Ru 4.8425 -0.9073 4.9305
Ru 2.3681 -1.9281 6.1293
```

---

- Look up the size of the total moment of the fifth one.
  0.0 μB per formula unit

---

Copy entry 7 word for word.
VASP calculation (PBE) on crystalline Be2InBr at its relaxed geometry. Values from VASP.

Results
The value obtained for the distance to the lowest polymorph of the same formula is 434 meV per atom. The space group is No. 71. The calculated volume comes out at 19.05 Å³ per atom. As for the uncorrected formation energy: 0.69 eV/atom. Its density of states at the Fermi level is 2.33 states/eV/cell. Its size of the total moment is 0.0 μB per formula unit.

```
&SYSTEM
  ibrav = 0, nat = 4, ntyp = 3
/
ATOMIC_SPECIES
Be 9.01 Be.upf
In 114.82 In.upf
Br 79.90 Br.upf
CELL_PARAMETERS angstrom
-1.6210 3.0091 3.9063
1.6210 -3.0091 3.9063
1.6210 3.0091 -3.9063
ATOMIC_POSITIONS angstrom
Be 0.0000 0.0000 1.8617
Be 0.0000 0.0000 5.9509
In 0.0000 3.0091 0.0000
Br 1.6210 0.0000 0.0000
```